VASP calculation (PBE+U) on an optimized crystal structure of CoS2NF.

Unit cell a=4.441 b=4.441 c=3.833 alpha=90.00 beta=90.00 gamma=90.00
Atoms (fractional coordinates):
Co 0.000 0.000 0.000
S 0.000 0.500 0.500
S 0.500 0.000 0.500
N 0.500 0.500 0.000
F 0.500 0.500 0.500

Values from the calculation:
Total magnetization: 4.6 μB/f.u.
Excess energy over the best structure of this formula in the dataset: 375 kJ/mol of formula units
Space group: No. 123